Record 1
Material: CrFe2Ni
Method: DFT, GGA-PBE
State: relaxed

Cell and atoms, written as extended XYZ:
```
4
Lattice="1.4985 -1.9238 0.0000 1.4985 1.9238 0.0000 0.0000 0.0000 7.8465" Properties=species:S:1:pos:R:3 pbc="T T T"
Cr 0.0000 0.0000 0.0000
Fe 0.0000 0.0000 3.9665
Fe 1.4985 0.0000 1.9782
Ni 1.4985 0.0000 5.9148
```

- Total magnetic moment: 4.62 μB/f.u.
- Energy of formation from the pure elements: 45.8 meV per atom
- Total energy: -8.037 eV/atom


Record 2
Material: Cr2FeNi
Method: DFT, GGA-PBE
State: relaxed

Cell and atoms, written as extended XYZ:
```
4
Lattice="4.1413 -1.2185 0.0000 4.1413 1.2185 0.0000 -0.5808 0.0000 4.4463" Properties=species:S:1:pos:R:3 pbc="T T T"
Cr 0.0000 0.0000 0.0000
Cr 1.6024 0.0000 3.2273
Fe 3.8010 0.0000 2.1676
Ni 6.0486 0.0000 1.0297
```

- Total magnetic moment: 1.50 μB/f.u.
- Relative energy among the computed polymorphs: 70 meV/atom
- Energy of formation from the pure elements: 120.3 meV per atom
- Total energy: -8.252 eV/atom


Record 3
Material: CrFeNi2
Method: DFT, GGA-PBE
State: relaxed

Cell and atoms, written as extended XYZ:
```
4
Lattice="-1.7863 1.7863 3.5528 1.7863 -1.7863 3.5528 1.7863 1.7863 -3.5528" Properties=species:S:1:pos:R:3 pbc="T T T"
Cr 0.0000 0.0000 0.0000
Fe 1.7863 0.0000 1.7764
Ni 0.0000 0.0000 3.5528
Ni 0.0000 1.7863 1.7764
```

- Total magnetic moment: 0.45 μB/f.u.
- Energy of formation from the pure elements: -16.9 meV per atom
- Total energy: -7.429 eV/atom


Record 4
Material: CrFe2Ni
Method: DFT, GGA-PBE
State: relaxed

Cell and atoms, written as extended XYZ:
```
4
Lattice="1.2585 0.7266 8.2116 -1.2585 0.7266 8.2116 0.0000 -1.4532 8.2116" Properties=species:S:1:pos:R:3 pbc="T T T"
Cr 0.0000 0.0000 0.0000
Fe 0.0000 0.0000 12.2738
Fe 0.0000 0.0000 18.3822
Ni 0.0000 0.0000 6.1295
```

- Total magnetic moment: 2.99 μB/f.u.
- Energy of formation from the pure elements: 117.3 meV per atom
- Total energy: -7.965 eV/atom


Record 5
Material: Cr2FeNi8
Method: DFT, GGA-PBE
State: relaxed

Cell and atoms, written as extended XYZ:
```
11
Lattice="3.2403 -6.1699 0.0000 3.2403 6.1699 0.0000 -2.8808 0.0000 3.2434" Properties=species:S:1:pos:R:3 pbc="T T T"
Cr 3.2403 3.9301 0.0000
Cr 3.2403 -3.9301 0.0000
Fe 1.7999 0.0000 1.6217
Ni -0.6769 0.0000 0.8346
Ni -0.5156 1.7023 2.4758
Ni 1.7999 2.3888 1.6217
Ni -0.5156 -1.7023 2.4758
Ni 4.1153 1.7023 0.7675
Ni 1.7999 -2.3888 1.6217
Ni 4.1153 -1.7023 0.7675
Ni 4.2766 0.0000 2.4088
```

- Total magnetic moment: 8.10 μB/f.u.
- Relative energy among the computed polymorphs: 86 meV/atom
- Energy of formation from the pure elements: 224.5 meV per atom
- Total energy: -6.499 eV/atom


Record 6
Material: CrFeNi4
Method: DFT, GGA-PBE
State: relaxed

Cell and atoms, written as extended XYZ:
```
12
Lattice="2.4616 -6.7804 0.0000 2.4616 6.7804 0.0000 -0.0042 0.0000 4.1223" Properties=species:S:1:pos:R:3 pbc="T T T"
Cr 2.4585 4.0913 3.0917
Cr 2.4606 -4.0913 1.0306
Fe 2.4606 2.6887 1.0306
Fe 2.4585 -2.6887 3.0917
Ni 1.2290 1.9059 3.0988
Ni 1.2309 0.5737 1.0453
Ni 1.2288 -0.5737 3.1065
Ni 1.2311 -1.9059 1.0377
Ni 3.6880 1.9059 3.0846
Ni 3.6903 0.5737 1.0158
Ni 3.6882 -0.5737 3.0769
Ni 3.6900 -1.9059 1.0234
```

- Total magnetic moment: 1.99 μB/f.u.
- Relative energy among the computed polymorphs: 23 meV/atom
- Energy of formation from the pure elements: 114.7 meV per atom
- Total energy: -6.754 eV/atom


Record 7
Material: Cr2FeNi
Method: DFT, GGA-PBE
State: relaxed

Cell and atoms, written as extended XYZ:
```
4
Lattice="1.2418 0.7170 8.3477 -1.2418 0.7170 8.3477 0.0000 -1.4340 8.3477" Properties=species:S:1:pos:R:3 pbc="T T T"
Cr 0.0000 0.0000 0.0000
Cr 0.0000 0.0000 6.1209
Fe 0.0000 0.0000 18.6477
Ni 0.0000 0.0000 12.4055
```

- Total magnetic moment: 0.00 μB/f.u.
- Relative energy among the computed polymorphs: 121 meV/atom
- Energy of formation from the pure elements: 171.6 meV per atom
- Total energy: -8.201 eV/atom


Record 8
Material: CrFe6Ni8
Method: DFT, GGA-PBE
State: relaxed

Cell and atoms, written as extended XYZ:
```
15
Lattice="2.9363 1.6953 6.2830 -2.9363 1.6953 6.2830 0.0000 -3.3905 6.2830" Properties=species:S:1:pos:R:3 pbc="T T T"
Cr 0.0000 0.0000 0.0000
Fe -0.4392 -1.5143 7.5074
Fe -1.5311 -0.3768 11.3418
Fe -1.0918 1.1375 7.5074
Fe 1.0918 -1.1375 11.3418
Fe 1.5311 0.3768 7.5074
Fe 0.4392 1.5143 11.3418
Ni -2.0828 -0.5569 8.8716
Ni -0.5591 -2.0822 9.9775
Ni 0.0000 0.0000 5.6997
Ni -1.5237 1.5253 9.9775
Ni 1.5237 -1.5253 8.8716
Ni 0.0000 0.0000 13.1495
Ni 0.5591 2.0823 8.8716
Ni 2.0828 0.5569 9.9775
```

- Total magnetic moment: 17.76 μB/f.u.
- Energy of formation from the pure elements: 376.4 meV per atom
- Total energy: -6.734 eV/atom


Record 9
Material: CrFeNi4
Method: DFT, GGA-PBE
State: relaxed

Cell and atoms, written as extended XYZ:
```
6
Lattice="0.0000 3.2829 3.2829 3.2829 0.0000 3.2829 3.2829 3.2829 0.0000" Properties=species:S:1:pos:R:3 pbc="T T T"
Cr 0.0000 0.0000 0.0000
Fe 4.9243 4.9243 4.9243
Ni 2.4615 2.4615 2.4615
Ni 4.1042 4.1042 2.4615
Ni 4.1042 2.4615 4.1042
Ni 2.4615 4.1042 4.1042
```

- Total magnetic moment: 1.19 μB/f.u.
- Relative energy among the computed polymorphs: 0 meV/atom
- Energy of formation from the pure elements: 91.4 meV per atom
- Total energy: -6.777 eV/atom


Record 10
Material: Cr2FeNi
Method: DFT, GGA-PBE
State: relaxed

Cell and atoms, written as extended XYZ:
```
4
Lattice="2.9257 0.0000 0.0000 0.0000 2.9257 0.0000 0.0000 0.0000 5.4545" Properties=species:S:1:pos:R:3 pbc="T T T"
Cr 0.0000 0.0000 0.0000
Cr 1.4629 1.4629 1.3152
Fe 0.0000 0.0000 2.6887
Ni 1.4629 1.4629 4.0272
```

- Total magnetic moment: 3.43 μB/f.u.
- Relative energy among the computed polymorphs: 71 meV/atom
- Energy of formation from the pure elements: 120.9 meV per atom
- Total energy: -8.252 eV/atom


Record 11
Material: CrFeNi2
Method: DFT, GGA-PBE
State: relaxed

Cell and atoms, written as extended XYZ:
```
4
Lattice="2.4631 0.0000 0.0000 0.0000 2.4631 0.0000 0.0000 0.0000 7.3277" Properties=species:S:1:pos:R:3 pbc="T T T"
Cr 0.0000 0.0000 0.0000
Fe 1.2316 1.2316 1.9277
Ni 0.0000 0.0000 3.7127
Ni 1.2316 1.2316 5.5414
```

- Total magnetic moment: 2.97 μB/f.u.
- Energy of formation from the pure elements: 24.5 meV per atom
- Total energy: -7.388 eV/atom


Record 12
Material: CrFe2Ni2
Method: DFT, GGA-PBE
State: relaxed

Cell and atoms, written as extended XYZ:
```
10
Lattice="4.3902 0.0000 0.0000 -0.7577 4.3268 0.0000 -1.4501 -2.3639 5.9959" Properties=species:S:1:pos:R:3 pbc="T T T"
Cr -0.0421 3.7290 1.5152
Cr 2.2245 -1.7661 4.4807
Fe -1.4613 0.5969 5.1028
Fe -0.7040 2.1690 3.3257
Fe 2.8865 -0.2061 2.6702
Fe 3.6438 1.3660 0.8931
Ni 0.0245 -1.3700 5.7076
Ni 0.7146 0.2015 3.8998
Ni 1.4679 1.7614 2.0961
Ni 2.1580 3.3329 0.2883
```

- Total magnetic moment: 3.32 μB/f.u.
- Relative energy among the computed polymorphs: 0 meV/atom
- Energy of formation from the pure elements: 24.8 meV per atom
- Total energy: -7.597 eV/atom


Record 13
Material: CrFe2Ni
Method: DFT, GGA-PBE
State: relaxed

Cell and atoms, written as extended XYZ:
```
4
Lattice="0.0000 2.8539 2.8539 2.8539 0.0000 2.8539 2.8539 2.8539 0.0000" Properties=species:S:1:pos:R:3 pbc="T T T"
Cr 0.0000 0.0000 0.0000
Fe 1.4270 1.4270 1.4270
Fe 2.8539 2.8539 2.8539
Ni 4.2809 4.2809 4.2809
```

- Total magnetic moment: 2.00 μB/f.u.
- Energy of formation from the pure elements: 110.4 meV per atom
- Total energy: -7.972 eV/atom


Record 14
Material: CrFe4Ni
Method: DFT, GGA-PBE
State: relaxed

Cell and atoms, written as extended XYZ:
```
6
Lattice="0.0000 3.2790 3.2790 3.2790 0.0000 3.2790 3.2790 3.2790 0.0000" Properties=species:S:1:pos:R:3 pbc="T T T"
Cr 0.0000 0.0000 0.0000
Fe 2.4637 2.4637 2.4637
Fe 4.0943 4.0943 2.4637
Fe 4.0943 2.4637 4.0943
Fe 2.4637 4.0943 4.0943
Ni 4.9185 4.9185 4.9185
```

- Total magnetic moment: 5.72 μB/f.u.
- Relative energy among the computed polymorphs: 0 meV/atom
- Energy of formation from the pure elements: 116.1 meV per atom
- Total energy: -8.093 eV/atom


Record 15
Material: CrFe2Ni9
Method: DFT, GGA-PBE
State: relaxed

Cell and atoms, written as extended XYZ:
```
12
Lattice="3.5424 0.0000 0.0000 0.0000 3.5424 0.0000 0.0000 0.0000 10.6438" Properties=species:S:1:pos:R:3 pbc="T T T"
Cr 0.0000 0.0000 0.0000
Fe 0.0000 0.0000 3.5527
Fe 0.0000 0.0000 7.0912
Ni 0.0000 1.7712 1.7728
Ni 0.0000 1.7712 5.3219
Ni 0.0000 1.7712 8.8710
Ni 1.7712 0.0000 1.7728
Ni 1.7712 0.0000 5.3219
Ni 1.7712 0.0000 8.8710
Ni 1.7712 1.7712 0.0000
Ni 1.7712 1.7712 3.5500
Ni 1.7712 1.7712 7.0938
```

- Total magnetic moment: 12.01 μB/f.u.
- Energy of formation from the pure elements: -53.7 meV per atom
- Total energy: -6.602 eV/atom


Record 16
Material: Cr2FeNi
Method: DFT, GGA-PBE
State: relaxed

Cell and atoms, written as extended XYZ:
```
4
Lattice="1.2433 0.7178 8.2858 -1.2433 0.7178 8.2858 0.0000 -1.4356 8.2858" Properties=species:S:1:pos:R:3 pbc="T T T"
Cr 0.0000 0.0000 6.1756
Cr 0.0000 0.0000 18.6818
Fe 0.0000 0.0000 12.4287
Ni 0.0000 0.0000 0.0000
```

- Total magnetic moment: 0.18 μB/f.u.
- Relative energy among the computed polymorphs: 96 meV/atom
- Energy of formation from the pure elements: 146.6 meV per atom
- Total energy: -8.226 eV/atom


Record 17
Material: Cr2FeNi
Method: DFT, GGA-PBE
State: relaxed

Cell and atoms, written as extended XYZ:
```
4
Lattice="3.5091 0.0000 0.0000 0.0000 3.5091 0.0000 0.0000 0.0000 3.5775" Properties=species:S:1:pos:R:3 pbc="T T T"
Cr 0.0000 1.7546 0.0000
Cr 1.7546 0.0000 0.0000
Fe 0.0000 0.0000 1.7887
Ni 1.7546 1.7546 1.7887
```

- Total magnetic moment: 0.22 μB/f.u.
- Relative energy among the computed polymorphs: 10 meV/atom
- Energy of formation from the pure elements: 60.4 meV per atom
- Total energy: -8.312 eV/atom


Record 18
Material: CrFe3Ni6
Method: DFT, GGA-PBE
State: relaxed

Cell and atoms, written as extended XYZ:
```
20
Lattice="7.9596 0.0000 0.0000 0.0000 3.5052 0.0000 -0.0969 0.0000 8.0276" Properties=species:S:1:pos:R:3 pbc="T T T"
Cr 0.7329 0.8763 0.3674
Cr 7.1298 2.6289 7.6601
Fe 0.7525 2.6289 4.4105
Fe 2.3153 0.8763 5.2024
Fe 3.9326 0.8763 1.9989
Fe 3.9301 2.6289 6.0287
Fe 5.5474 2.6289 2.8252
Fe 7.1102 0.8763 3.6170
Ni 7.8857 0.8763 6.0200
Ni -0.0230 2.6289 2.0076
Ni 1.5492 0.8763 2.7884
Ni 1.5174 2.6289 6.8240
Ni 2.3617 2.6289 1.1934
Ni 3.0816 0.8763 7.6183
Ni 3.1353 2.6289 3.5976
Ni 4.7274 0.8763 4.4300
Ni 4.7811 2.6289 0.4093
Ni 5.5010 0.8763 6.8341
Ni 6.3453 0.8763 1.2035
Ni 6.3135 2.6289 5.2391
```

- Total magnetic moment: 11.53 μB/f.u.
- Relative energy among the computed polymorphs: 0 meV/atom
- Energy of formation from the pure elements: -25.0 meV per atom
- Total energy: -6.995 eV/atom


Record 19
Material: Cr2FeNi
Method: DFT, GGA-PBE
State: relaxed

Cell and atoms, written as extended XYZ:
```
4
Lattice="2.4743 -3.6317 0.0000 2.4743 3.6317 0.0000 -0.0119 0.0000 2.4663" Properties=species:S:1:pos:R:3 pbc="T T T"
Cr 1.2371 1.8159 0.0000
Cr 1.2371 -1.8159 0.0000
Fe -0.0060 0.0000 1.2331
Ni 2.4683 0.0000 1.2331
```

- Total magnetic moment: 0.25 μB/f.u.
- Relative energy among the computed polymorphs: 31 meV/atom
- Energy of formation from the pure elements: 81.1 meV per atom
- Total energy: -8.292 eV/atom


Record 20
Material: Cr2FeNi2
Method: DFT, GGA-PBE
State: relaxed

Cell and atoms, written as extended XYZ:
```
10
Lattice="6.7122 0.0000 0.0000 0.0000 6.7122 0.0000 0.0000 0.0000 2.5378" Properties=species:S:1:pos:R:3 pbc="T T T"
Cr 1.1802 2.1760 0.0000
Cr 2.1760 5.5321 0.0000
Cr 4.5363 1.1802 0.0000
Cr 5.5321 4.5363 0.0000
Fe 0.0000 0.0000 1.2689
Fe 3.3561 3.3561 1.2689
Ni 0.8273 4.1834 1.2689
Ni 2.5288 0.8273 1.2689
Ni 4.1834 5.8849 1.2689
Ni 5.8849 2.5288 1.2689
```

- Total magnetic moment: 0.85 μB/f.u.
- Energy of formation from the pure elements: 338.9 meV per atom
- Total energy: -7.516 eV/atom


Record 21
Material: CrFe2Ni
Method: DFT, GGA-PBE
State: relaxed

Cell and atoms, written as extended XYZ:
```
8
Lattice="-1.6991 1.6991 8.1085 1.6991 -1.6991 8.1085 1.6991 1.6991 -8.1085" Properties=species:S:1:pos:R:3 pbc="T T T"
Cr 0.0000 0.0000 0.0000
Cr 0.0000 1.6991 4.0542
Fe 0.8496 -0.7251 6.0814
Fe 0.9740 0.8496 2.0271
Fe 0.8496 2.4242 -2.0271
Fe 0.7251 0.8496 10.1356
Ni 1.6991 0.0000 4.0542
Ni 0.0000 0.0000 8.1085
```

- Total magnetic moment: 0.00 μB/f.u.
- Energy of formation from the pure elements: 634.4 meV per atom
- Total energy: -7.448 eV/atom


Record 22
Material: Cr2FeNi7
Method: DFT, GGA-PBE
State: relaxed

Cell and atoms, written as extended XYZ:
```
10
Lattice="3.7891 -6.8791 0.0000 3.7891 6.8791 0.0000 0.0000 0.0000 2.4105" Properties=species:S:1:pos:R:3 pbc="T T T"
Cr 3.7891 4.4813 0.0000
Cr 3.7891 -4.4813 0.0000
Fe 3.7891 0.0000 1.2052
Ni 0.0000 0.0000 0.0000
Ni 2.0055 1.3023 0.0000
Ni 3.7891 2.4615 1.2052
Ni 2.0055 -1.3023 0.0000
Ni 5.5728 1.3023 0.0000
Ni 3.7891 -2.4615 1.2052
Ni 5.5728 -1.3023 0.0000
```

- Total magnetic moment: 1.59 μB/f.u.
- Energy of formation from the pure elements: 472.8 meV per atom
- Total energy: -6.345 eV/atom


Record 23
Material: CrFe2Ni
Method: DFT, GGA-PBE
State: relaxed

Cell and atoms, written as extended XYZ:
```
4
Lattice="-1.7779 1.7779 3.5928 1.7779 -1.7779 3.5928 1.7779 1.7779 -3.5928" Properties=species:S:1:pos:R:3 pbc="T T T"
Cr 0.0000 0.0000 0.0000
Fe 1.7779 0.0000 1.7964
Fe 0.0000 0.0000 3.5928
Ni 0.0000 1.7779 1.7964
```

- Total magnetic moment: 2.58 μB/f.u.
- Energy of formation from the pure elements: 17.5 meV per atom
- Total energy: -8.065 eV/atom


Record 24
Material: CrFe3Ni4
Method: DFT, GGA-PBE
State: relaxed

Cell and atoms, written as extended XYZ:
```
8
Lattice="10.0723 -1.2950 0.0000 10.0723 1.2950 0.0000 -0.6779 0.0000 3.6502" Properties=species:S:1:pos:R:3 pbc="T T T"
Cr 0.0000 0.0000 0.0000
Fe 6.3809 0.0000 3.0808
Fe 9.7333 0.0000 1.8251
Fe 13.0857 0.0000 0.5694
Ni 1.6087 0.0000 2.1969
Ni 3.9699 0.0000 2.6347
Ni 15.4967 0.0000 1.0154
Ni 17.8579 0.0000 1.4533
```

- Total magnetic moment: 7.04 μB/f.u.
- Energy of formation from the pure elements: 209.7 meV per atom
- Total energy: -7.057 eV/atom


Record 25
Material: CrFeNi2
Method: DFT, GGA-PBE
State: relaxed

Cell and atoms, written as extended XYZ:
```
4
Lattice="2.4624 0.0000 0.0000 0.0000 3.6651 0.0000 0.0000 0.0000 4.9383" Properties=species:S:1:pos:R:3 pbc="T T T"
Cr 0.0000 0.0000 0.0000
Fe 0.0000 0.0000 2.4691
Ni 1.2312 1.8325 1.2261
Ni 1.2312 1.8325 3.7122
```

- Total magnetic moment: 2.31 μB/f.u.
- Energy of formation from the pure elements: 26.3 meV per atom
- Total energy: -7.386 eV/atom